Compound: Ac7Ge5Bi
Source: Alexandria
Functional: PBE
Structure: relaxed

## Properties
density: 8.149 g cm⁻³
space group: Imm2
total energy: -62.32 eV per formula unit
D(E_F): 10.2 states/eV/f.u.

The structure in POSCAR format:
```
Ac7Ge5Bi
1.0
6.681 0.000 0.000
3.341 8.130 -0.396
3.341 -0.422 8.128
Ge Ac Bi
5 7 1
Direct
0.053 0.018 0.489
0.440 0.018 0.489
0.053 0.489 0.018
0.440 0.489 0.018
0.781 0.719 0.719
0.292 0.208 0.208
0.661 0.339 0.339
0.554 0.781 0.111
0.554 0.111 0.781
0.969 0.337 0.725
0.969 0.725 0.337
0.267 0.733 0.733
0.966 0.034 0.034
```